(1)
This record from Alexandria describes an optimized crystal structure of Li2HoSn2Hg2. The functional is PBE.

Results
E_tot = -2.81 eV per atom
Crystal system = trigonal
Calculated formation energy = -0.379 eV/atom

The structure in extended XYZ format:
```
7
Lattice="2.330 1.345 8.374 -2.330 1.345 8.374 0.000 -2.690 8.374" Properties=species:S:1:pos:R:3 pbc="T T T"
Li 0.000 0.000 3.567
Li 0.000 0.000 21.554
Ho 0.000 0.000 0.000
Sn 0.000 0.000 6.720
Sn 0.000 0.000 18.401
Hg 0.000 0.000 11.093
Hg 0.000 0.000 14.028
```

---

(2)
This record from Alexandria describes an optimized crystal structure of YTlFe4. The functional is PBE.

Results
E_tot = -7.05 eV per atom
Crystal system = cubic
Calculated formation energy = 0.062 eV/atom

The structure in extended XYZ format:
```
6
Lattice="0.000 3.604 3.604 3.604 0.000 3.604 3.604 3.604 0.000" Properties=species:S:1:pos:R:3 pbc="T T T"
Y 0.000 0.000 0.000
Tl 5.407 5.407 5.407
Fe 2.702 2.702 2.702
Fe 4.507 4.507 2.702
Fe 4.507 2.702 4.507
Fe 2.702 4.507 4.507
```

---

(3)
This record from Alexandria describes an optimized crystal structure of Cs4Se. The functional is PBE.

Results
E_tot = -1.97 eV per atom
Crystal system = orthorhombic
Uncorrected formation energy = -57 kJ/mol of atoms
Energy above the most stable polymorph in this dataset = 0.000 eV/atom

The structure in extended XYZ format:
```
10
Lattice="0.000 8.668 5.551 8.559 0.000 5.551 8.559 8.668 0.000" Properties=species:S:1:pos:R:3 pbc="T T T"
Cs 15.334 7.024 5.551
Cs 6.064 2.690 2.776
Cs 2.495 5.979 2.776
Cs 10.349 10.387 5.083
Cs 6.770 6.950 5.083
Cs 14.628 11.284 7.858
Cs 11.049 14.721 7.858
Cs 1.784 10.313 5.551
Se 8.559 8.668 2.457
Se 4.280 4.334 5.232
```

---

(4)
This record from Alexandria describes an optimized crystal structure of VInPtRh. The functional is PBE.

Results
E_tot = -6.59 eV per atom
Crystal system = cubic
Calculated formation energy = -0.279 eV/atom

The structure in extended XYZ format:
```
4
Lattice="0.000 3.184 3.184 3.184 0.000 3.184 3.184 3.184 0.000" Properties=species:S:1:pos:R:3 pbc="T T T"
V 0.000 0.000 0.000
In 3.184 3.184 3.184
Pt 1.592 1.592 1.592
Rh 4.776 4.776 4.776
```

---

(5)
This record from Alexandria describes an optimized crystal structure of ScCdH3. The functional is PBE.

Results
E_tot = -3.11 eV per atom
Crystal system = cubic
Energy above the most stable polymorph in this dataset = 0.482 eV/atom

The structure in extended XYZ format:
```
5
Lattice="3.852 0.000 0.000 0.000 3.852 0.000 0.000 0.000 3.852" Properties=species:S:1:pos:R:3 pbc="T T T"
Sc 0.000 0.000 0.000
Cd 1.926 1.926 1.926
H 0.000 1.926 1.926
H 1.926 0.000 1.926
H 1.926 1.926 0.000
```

---

(6)
This record from Alexandria describes an optimized crystal structure of Nd6Sm2DyHo. The functional is PBE.

Results
E_tot = -4.61 eV per atom
Crystal system = monoclinic
Calculated formation energy = 0.115 eV/atom

The structure in extended XYZ format:
```
20
Lattice="4.624 -7.706 0.000 4.624 7.706 0.000 -1.375 0.000 9.677" Properties=species:S:1:pos:R:3 pbc="T T T"
Nd 2.437 4.287 1.828
Nd 3.296 4.910 5.365
Nd 3.888 4.910 9.150
Nd 3.155 1.636 3.690
Nd 6.122 4.287 3.010
Nd 5.404 1.636 1.148
Nd 2.467 -1.636 8.528
Nd 1.750 -4.287 6.667
Nd 4.717 -1.636 5.987
Nd 3.984 -4.910 0.527
Nd 4.576 -4.910 4.312
Nd 5.434 -4.287 7.848
Sm 2.227 0.769 0.424
Sm 1.540 -0.769 5.262
Sm 6.332 0.769 4.415
Sm 5.644 -0.769 9.253
Dy 4.280 7.344 2.419
Dy 3.592 -7.344 7.257
Ho 3.592 1.397 7.257
Ho 4.280 -1.397 2.419
```

---

(7)
This record from Alexandria describes an optimized crystal structure of Tl6GaPb2. The functional is PBE.

Results
E_tot = -2.69 eV per atom
Crystal system = monoclinic
Calculated formation energy = 0.045 eV/atom

The structure in extended XYZ format:
```
18
Lattice="6.419 -5.785 0.000 6.419 5.785 0.000 -5.447 0.000 7.275" Properties=species:S:1:pos:R:3 pbc="T T T"
Tl 2.887 4.340 3.860
Tl 1.537 1.617 2.622
Tl 1.780 4.340 7.052
Tl 0.635 1.169 5.957
Tl -1.187 -1.617 6.259
Tl 3.358 -1.169 2.319
Tl 4.032 1.169 4.956
Tl 8.578 1.617 1.016
Tl 6.756 -1.169 1.318
Tl 5.611 -4.340 0.223
Tl 5.854 -1.617 4.653
Tl 4.504 -4.340 3.415
Ga 5.057 1.649 1.819
Ga 2.334 -1.649 5.456
Pb -2.800 1.452 6.679
Pb -0.076 -1.452 3.042
Pb 7.467 1.452 4.233
Pb 10.191 -1.452 0.595
```

---

(8)
This record from Alexandria describes an optimized crystal structure of CdIr2Os. The functional is PBE.

Results
E_tot = -7.22 eV per atom
Crystal system = orthorhombic
Calculated formation energy = 0.246 eV/atom

The structure in extended XYZ format:
```
4
Lattice="2.797 0.000 0.000 0.000 3.810 0.000 0.000 0.000 5.922" Properties=species:S:1:pos:R:3 pbc="T T T"
Cd 0.000 0.000 0.000
Ir 1.399 1.905 1.635
Ir 1.399 1.905 4.287
Os 0.000 0.000 2.961
```

---

(9)
This record from Alexandria describes an optimized crystal structure of PmPaCu. The functional is PBE.

Results
E_tot = -6.10 eV per atom
Crystal system = orthorhombic
Calculated formation energy = 0.018 eV/atom

The structure in extended XYZ format:
```
6
Lattice="1.653 -8.173 0.000 1.653 8.173 0.000 0.000 0.000 5.236" Properties=species:S:1:pos:R:3 pbc="T T T"
Pm 1.653 6.982 3.927
Pm 1.653 -6.982 1.309
Pa 1.653 4.272 1.309
Pa 1.653 -4.272 3.927
Cu 1.653 1.550 3.927
Cu 1.653 -1.550 1.309
```

---

Number 1: total magnetization 0.00 μB per formula unit. Number 2: total magnetization 8.19 μB per formula unit. Number 3: total magnetization 0.00 μB per formula unit. Number 4: total magnetization 2.38 μB per formula unit. Number 5: total magnetization 0.00 μB per formula unit. Number 6: total magnetization 0.00 μB per formula unit. Number 7: total magnetization 0.00 μB per formula unit. Number 8: total magnetization 0.00 μB per formula unit. Number 9: total magnetization 0.00 μB per formula unit.